one) The following is a DFT calculation (PBE) of an optimized crystal structure of VFePdRh.

Computed properties:
For the density of states at the Fermi level, the calculation gives 0.94 states/eV per atom. The calculated density comes out at 9.5 g cm⁻³. Its total moment is 1.67 μB per formula unit.

Geometry as POSCAR:
```
VFePdRh
1.0
4.281 0.000 0.000
2.141 3.708 0.000
2.141 1.236 3.496
Rh V Pd Fe
1 1 1 1
Direct
0.750 0.750 0.750
0.500 0.500 0.500
0.000 0.000 0.000
0.250 0.250 0.250
```



two) The following is a DFT calculation (PBE) of an optimized crystal structure of VFePdRh.

Computed properties:
For the density of states at the Fermi level, the calculation gives 1.05 states/eV per atom. The calculated density comes out at 9.5 g cm⁻³. Its total moment is 2.95 μB per formula unit.

Geometry as POSCAR:
```
VFePdRh
1.0
-0.462 0.949 2.507
1.761 -1.808 1.008
5.999 3.977 -3.342
Pd V Rh Fe
1 1 1 1
Direct
0.482 0.430 0.590
0.725 0.930 0.332
0.984 0.430 0.093
0.239 0.930 0.846
```



Energies relative to the most stable structure are one) 140; two) 0, reported in meV per atom.